Here is an optimized crystal structure of LaTb5Er12 from Alexandria. Energies are from PBE.

Energy of formation from the pure elements (eV per atom): 0.12
Calculated volume (A^3/atom): 31.62
DOS at the Fermi energy (states/eV/f.u.): 36.05

a b c (Å): 11.219 10.261 5.905
angles (deg): 90.06 90.10 56.86
Atoms (fractional coordinates):
La 0.000 0.000 0.000
Tb 0.500 0.000 0.500
Tb 0.167 0.666 0.500
Tb 0.833 0.334 0.500
Tb 0.671 0.658 0.000
Tb 0.329 0.342 0.000
Er 0.821 0.000 0.457
Er 0.179 0.000 0.543
Er 0.668 0.000 0.956
Er 0.332 0.000 0.044
Er 0.346 0.666 0.947
Er 0.987 0.666 0.053
Er 0.013 0.334 0.947
Er 0.654 0.334 0.053
Er 0.507 0.334 0.552
Er 0.842 0.666 0.552
Er 0.158 0.334 0.448
Er 0.493 0.666 0.448

Here is an optimized crystal structure of TlCu2Pd2 from Alexandria. Energies are from PBE.

Energy of formation from the pure elements (eV per atom): -0.01
Distance to the lowest polymorph of the same formula (eV per formula unit): 0.000
Calculated volume (A^3/atom): 15.99
DOS at the Fermi energy (states/eV/f.u.): 2.22

a b c (Å): 7.215 7.215 3.071
angles (deg): 90.00 90.00 90.00
Atoms (fractional coordinates):
Tl 0.000 0.000 0.000
Tl 0.500 0.500 0.000
Cu 0.376 0.876 0.000
Cu 0.876 0.624 0.000
Cu 0.624 0.124 0.000
Cu 0.124 0.376 0.000
Pd 0.169 0.669 0.500
Pd 0.669 0.831 0.500
Pd 0.831 0.331 0.500
Pd 0.331 0.169 0.500

Here is an optimized crystal structure of KBaMn from Alexandria. Energies are from PBE.

Energy of formation from the pure elements (eV per atom): 0.72
Distance to the lowest polymorph of the same formula (eV per formula unit): 0.237
Calculated volume (A^3/atom): 46.50
DOS at the Fermi energy (states/eV/f.u.): 3.06

a b c (Å): 4.228 4.228 9.012
angles (deg): 90.00 90.00 120.00
Each line ends with the local moment (μB).
Atoms (fractional coordinates):
Ba 0.000 0.000 0.937  -0.15
K 0.667 0.333 0.385  -0.01
Mn 0.333 0.667 0.678  4.07

Here is an optimized crystal structure of Be4FePt3 from Alexandria. Energies are from PBE.

Energy of formation from the pure elements (eV per atom): -0.63
Calculated volume (A^3/atom): 10.85
DOS at the Fermi energy (states/eV/f.u.): 3.41

a b c (Å): 3.936 3.936 6.856
angles (deg): 73.32 73.32 60.00
Each line ends with the local moment (μB).
Atoms (fractional coordinates):
Be 0.880 0.880 0.361  -0.01
Be 0.372 0.372 0.884  -0.01
Be 0.120 0.120 0.639  -0.01
Be 0.628 0.628 0.116  -0.01
Fe 0.000 0.000 0.000  0.36
Pt 0.253 0.253 0.242  -0.01
Pt 0.747 0.747 0.758  -0.01
Pt 0.500 0.500 0.500  -0.02

Here is an optimized crystal structure of Tc2IrSe from Alexandria. Energies are from PBE.

Calculated volume (A^3/atom): 15.24
Formation energy (no corrections) (kcal/mol of atoms): 4.13
DOS at the Fermi energy (states/eV/f.u.): 3.78

a b c (Å): 2.889 2.889 7.305
angles (deg): 90.00 90.00 90.00
Atoms (fractional coordinates):
Ir 0.000 0.000 0.486
Se 0.500 0.500 0.775
Tc 0.000 0.000 0.993
Tc 0.500 0.500 0.246

Here is an optimized crystal structure of FeMo2Cl from Alexandria. Energies are from PBE.

Distance to the lowest polymorph of the same formula (eV per formula unit): 0.187
Calculated volume (A^3/atom): 15.74
Formation energy (no corrections) (kcal/mol of atoms): 7.65
DOS at the Fermi energy (states/eV/f.u.): 3.85

a b c (Å): 2.857 2.857 8.326
angles (deg): 90.00 90.00 112.17
Each line ends with the local moment (μB).
Atoms (fractional coordinates):
Mo 0.000 0.000 0.994  -0.06
Mo 0.500 0.500 0.240  -0.09
Fe 0.500 0.500 0.749  2.82
Cl 0.000 0.000 0.517  0.06